Record 1
First-principles (PBE-GGA) data for crystalline V4FeRu at its relaxed geometry, as listed in Alexandria via LeMat-Bulk.

Structure (CIF):
```
data_V4FeRu
_cell_length_a 3.9762
_cell_length_b 3.9940
_cell_length_c 5.7277
_cell_angle_alpha 90.20
_cell_angle_beta 90.09
_cell_angle_gamma 90.00
_symmetry_space_group_name_H-M 'P -1'
_symmetry_Int_Tables_number 2
loop_
_symmetry_equiv_pos_as_xyz
'x,y,z'
'-x,-y,-z'
loop_
_atom_site_label
_atom_site_type_symbol
_atom_site_fract_x
_atom_site_fract_y
_atom_site_fract_z
V1 V 0.0001 0.0010 0.2627
V2 V 0.4994 0.4997 0.7365
Fe1 Fe 0.5000 0.0000 0.5000
Ru1 Ru 0.0000 0.5000 0.0000
```

Energy of formation from the pure elements   0.341 eV/atom
M_tot   0.00 μB/f.u.
DOS at the Fermi energy   1.14 states/eV/atom



Record 2
First-principles (PBE-GGA) data for crystalline V2Fe2Ru at its relaxed geometry, as listed in Alexandria via LeMat-Bulk.

Structure (CIF):
```
data_V2Fe2Ru
_cell_length_a 7.2504
_cell_length_b 4.1909
_cell_length_c 4.8255
_cell_angle_alpha 90.00
_cell_angle_beta 120.15
_cell_angle_gamma 90.00
_symmetry_space_group_name_H-M 'C 1 2/m 1'
_symmetry_Int_Tables_number 12
loop_
_symmetry_equiv_pos_as_xyz
'x,y,z'
'-x,-y,-z'
'-x,y,-z'
'x,-y,z'
'x+1/2,y+1/2,z'
'-x+1/2,-y+1/2,-z'
'-x+1/2,y+1/2,-z'
'x+1/2,-y+1/2,z'
loop_
_atom_site_label
_atom_site_type_symbol
_atom_site_fract_x
_atom_site_fract_y
_atom_site_fract_z
V1 V 0.2021 0.0000 0.1065
Fe1 Fe 0.0967 0.5000 0.2898
Ru1 Ru 0.0000 0.0000 0.5000
```

Energy of formation from the pure elements   -0.067 eV/atom
M_tot   4.00 μB/f.u.
DOS at the Fermi energy   1.03 states/eV/atom



Record 3
First-principles (PBE-GGA) data for crystalline VFeRu2 at its relaxed geometry, as listed in Alexandria via LeMat-Bulk.

Structure (CIF):
```
data_VFeRu2
_cell_length_a 4.2295
_cell_length_b 4.2295
_cell_length_c 10.5154
_cell_angle_alpha 90.00
_cell_angle_beta 90.00
_cell_angle_gamma 120.00
_symmetry_space_group_name_H-M 'R 3 m'
_symmetry_Int_Tables_number 160
_symmetry_space_group_name_Hall 'R 3 -2"'
loop_
_atom_site_label
_atom_site_type_symbol
_atom_site_fract_x
_atom_site_fract_y
_atom_site_fract_z
V1 V 0.0000 0.0000 0.0000
Fe1 Fe 0.0000 0.0000 0.2431
Ru1 Ru 0.0000 0.0000 0.4978
Ru2 Ru 0.0000 0.0000 0.7383
```

Energy of formation from the pure elements   0.131 eV/atom
M_tot   3.12 μB/f.u.
DOS at the Fermi energy   1.35 states/eV/atom



Number 1: ΔE to the lowest computed polymorph 0.5662 eV per atom. Number 2: ΔE to the lowest computed polymorph 0.0000 eV per atom. Number 3: ΔE to the lowest computed polymorph 0.2372 eV per atom.